## CsLaSb2I (PBE)

Data for an optimized crystal structure of CsLaSb2I.

Cell lengths 6.1628, 6.1628, 6.5094 Å; angles 90.00, 90.00, 90.00 degrees
With the nearest neighbours (Å) after each atom.
Sites, in units of the cell vectors:
1 Cs 0.5000 0.5000 0.5000  4 I 4.36, 8 Sb 4.48
2 I 0.0000 0.0000 0.5000  2 La 3.25
3 Sb 0.0000 0.5000 0.0000  2 La 3.08
4 Sb 0.5000 0.0000 0.0000  2 La 3.08
5 La 0.0000 0.0000 0.0000  4 Sb 3.08, 2 I 3.25

- relative energy among the computed polymorphs (eV per atom) = 0.0000
- size of the total moment (μB per formula unit) = 0.69